P:
The following is a DFT calculation (PBE) of crystalline Y4Er3Tm at its relaxed geometry.

Summary:
The calculated volume comes out at 31.694 Å³/atom.

a b c (Å): 6.2563 7.2430 11.1908
angles (deg): 90.00 90.00 90.00
With the nearest neighbours (Å) after each atom.
Positions (direct):
Y: 0.1461 0.8730 0.0000  4 Er 3.49-3.63, 6 Y 3.50-3.63, 2 Tm 3.59-3.65
Y: 0.6459 0.1275 0.0000  4 Er 3.49-3.65, 6 Y 3.50-3.63, 2 Tm 3.60-3.63
Y: 0.9830 0.1273 0.2499  1 Tm 3.49, 5 Er 3.49-3.65, 6 Y 3.50-3.63
Y: 0.4830 0.8727 0.2501  1 Tm 3.49, 5 Er 3.49-3.65, 6 Y 3.50-3.63
Y: 0.1459 0.8725 0.5000  4 Er 3.49-3.65, 6 Y 3.50-3.63, 2 Tm 3.60-3.63
Y: 0.6461 0.1270 0.5000  4 Er 3.49-3.63, 6 Y 3.50-3.63, 2 Tm 3.59-3.65
Y: 0.4830 0.8727 0.7499  1 Tm 3.49, 5 Er 3.49-3.65, 6 Y 3.50-3.63
Y: 0.9830 0.1273 0.7501  1 Tm 3.49, 5 Er 3.49-3.65, 6 Y 3.50-3.63
Er: 0.6490 0.6229 0.0000  4 Er 3.48, 6 Y 3.49-3.65, 2 Tm 3.60
Er: 0.9795 0.6227 0.2499  4 Er 3.48-3.60, 2 Tm 3.48, 6 Y 3.49-3.65
Er: 0.4795 0.3773 0.2501  4 Er 3.48-3.60, 2 Tm 3.48, 6 Y 3.49-3.65
Er: 0.1490 0.3771 0.5000  4 Er 3.48, 6 Y 3.49-3.65, 2 Tm 3.60
Er: 0.4795 0.3773 0.7499  4 Er 3.48-3.60, 2 Tm 3.48, 6 Y 3.49-3.65
Er: 0.9795 0.6227 0.7501  4 Er 3.48-3.60, 2 Tm 3.48, 6 Y 3.49-3.65
Tm: 0.1492 0.3774 0.0000  6 Er 3.48-3.60, 6 Y 3.49-3.65
Tm: 0.6492 0.6226 0.5000  6 Er 3.48-3.60, 6 Y 3.49-3.65

***

Q:
The following is a DFT calculation (PBE) of crystalline Y4Er3Tm at its relaxed geometry.

Summary:
The calculated volume comes out at 32.308 Å³/atom.

a b c (Å): 5.5679 3.5598 13.3342
angles (deg): 89.97 102.05 90.00
With the nearest neighbours (Å) after each atom.
Positions (direct):
Y: 0.6024 0.4995 0.2048  1 Y 3.13, 2 Tm 3.21
Y: 0.3976 0.5005 0.7952  1 Y 3.13, 2 Tm 3.21
Y: 0.2777 0.4995 0.5553  3 Y 3.13-3.14
Y: 0.7223 0.5005 0.4447  3 Y 3.13-3.14
Tm: 0.5000 0.0000 0.0000  4 Y 3.21, 4 Er 3.30, 2 Tm 3.56
Er: 0.0000 0.5000 0.0000  4 Tm 3.30, 2 Er 3.56
Er: 0.8447 0.9999 0.6894  2 Er 3.56, 10 Y 3.58-3.74
Er: 0.1553 0.0001 0.3106  2 Er 3.56, 10 Y 3.58-3.74

***

The data favor P; the next most stable structure lies 0.208 eV/atom above it.

***

P:
The following is a DFT calculation (PBE) of crystalline YEr7Tm2 at its relaxed geometry.

Summary:
The calculated volume comes out at 38.170 Å³/atom.

a b c (Å): 5.3309 9.3307 9.3307
angles (deg): 124.67 90.00 90.00
With the nearest neighbours (Å) after each atom.
Positions (direct):
Y: 0.0000 0.0000 0.0000  10 Er 3.35-3.59
Er: 0.0000 0.7974 0.2026  2 Tm 3.10, 1 Y 3.35, 4 Er 3.42
Er: 0.0000 0.2026 0.7974  2 Tm 3.10, 1 Y 3.35, 4 Er 3.42
Er: 0.5000 0.0655 0.2894  4 Er 3.08-3.42, 2 Tm 3.17-3.44
Er: 0.5000 0.9345 0.7106  4 Er 3.08-3.42, 2 Tm 3.17-3.44
Er: 0.5000 0.2894 0.0655  4 Er 3.08-3.42, 2 Tm 3.17-3.44
Er: 0.5000 0.7106 0.9345  4 Er 3.08-3.42, 2 Tm 3.17-3.44
Er: 0.5000 0.5000 0.5000  2 Tm 3.34, 4 Er 3.35
Tm: 0.5000 0.7020 0.2980  7 Er 3.10-3.44
Tm: 0.5000 0.2980 0.7020  7 Er 3.10-3.44

***

Q:
The following is a DFT calculation (PBE) of crystalline YEr7Tm2 at its relaxed geometry.

Summary:
The calculated volume comes out at 30.792 Å³/atom.

a b c (Å): 5.3654 8.7833 9.3457
angles (deg): 117.95 106.66 52.32
With the nearest neighbours (Å) after each atom.
Positions (direct):
Y: 0.0000 0.0000 0.0000  12 Er 3.31-3.69
Er: 0.0004 0.7992 0.5992  4 Tm 3.16-3.48, 1 Y 3.31, 4 Er 3.52-3.53
Er: 0.9996 0.2008 0.4008  4 Tm 3.16-3.48, 1 Y 3.31, 4 Er 3.52-3.53
Er: 0.7508 0.6382 0.7781  8 Er 3.47-3.68, 3 Tm 3.51-3.59, 2 Y 3.69
Er: 0.2492 0.3618 0.2219  8 Er 3.47-3.68, 3 Tm 3.51-3.59, 2 Y 3.69
Er: 0.7508 0.8603 0.2215  8 Er 3.47-3.68, 3 Tm 3.51-3.59, 2 Y 3.68
Er: 0.2492 0.1397 0.7785  8 Er 3.47-3.68, 3 Tm 3.51-3.59, 2 Y 3.68
Er: 0.5000 0.5000 0.0000  2 Tm 3.28, 2 Y 3.48
Tm: 0.4997 0.6995 0.3979  9 Er 3.16-3.51
Tm: 0.5003 0.3005 0.6021  9 Er 3.16-3.51

***

The data favor Q; the next most stable structure lies 0.657 eV/atom above it.

***

P:
The following is a DFT calculation (PBE) of crystalline Y4Er5Tm2 at its relaxed geometry.

Summary:
The calculated volume comes out at 31.399 Å³/atom.

a b c (Å): 5.5828 9.0453 23.7816
angles (deg): 161.90 96.74 90.00
With the nearest neighbours (Å) after each atom.
Positions (direct):
Y: 0.3099 0.2741 0.6199  4 Y 3.27-3.55, 5 Er 3.30-3.61, 1 Tm 3.50
Y: 0.9582 0.1053 0.9164  2 Er 3.36-3.70, 2 Tm 3.52, 4 Y 3.55-3.68
Y: 0.6901 0.7259 0.3801  4 Y 3.27-3.55, 5 Er 3.30-3.61, 1 Tm 3.50
Y: 0.0418 0.8947 0.0836  2 Er 3.36-3.70, 2 Tm 3.52, 4 Y 3.55-3.68
Er: 0.8528 0.2428 0.7055  5 Er 3.35-3.45, 5 Y 3.36-3.70, 1 Tm 3.50
Er: 0.1472 0.7572 0.2945  5 Er 3.35-3.45, 5 Y 3.36-3.70, 1 Tm 3.50
Er: 0.7664 0.4651 0.5329  5 Er 3.35-3.53, 3 Tm 3.35-3.39, 1 Y 3.40
Er: 0.5000 0.0000 0.0000  2 Y 3.30, 4 Er 3.45
Er: 0.2336 0.5349 0.4671  5 Er 3.35-3.53, 3 Tm 3.35-3.39, 1 Y 3.40
Tm: 0.3992 0.0833 0.7984  1 Tm 3.18, 4 Er 3.35-3.50, 3 Y 3.50-3.52
Tm: 0.6008 0.9167 0.2016  1 Tm 3.18, 4 Er 3.35-3.50, 3 Y 3.50-3.52

***

Q:
The following is a DFT calculation (PBE) of crystalline Y4Er5Tm2 at its relaxed geometry.

Summary:
The calculated volume comes out at 32.761 Å³/atom.

a b c (Å): 3.4915 8.9551 12.4874
angles (deg): 111.01 98.04 90.00
With the nearest neighbours (Å) after each atom.
Positions (direct):
Y: 0.0000 0.3073 0.0000  4 Er 3.26-3.49, 7 Y 3.34-3.49
Y: 0.5983 0.5983 0.1966  1 Tm 3.07, 4 Y 3.34, 4 Er 3.40
Y: 0.0000 0.6927 0.0000  4 Er 3.26-3.49, 7 Y 3.34-3.49
Y: 0.4017 0.4017 0.8034  1 Tm 3.07, 4 Y 3.34, 4 Er 3.40
Er: 0.8546 0.0521 0.7092  1 Tm 3.34, 3 Y 3.40-3.49, 3 Er 3.49-3.54
Er: 0.8546 0.6572 0.7092  1 Tm 3.34, 3 Y 3.40-3.49, 3 Er 3.49-3.54
Er: 0.1454 0.3428 0.2908  1 Tm 3.34, 3 Y 3.40-3.49, 3 Er 3.49-3.54
Er: 0.1454 0.9479 0.2908  1 Tm 3.34, 3 Y 3.40-3.49, 3 Er 3.49-3.54
Er: 0.5000 0.0000 0.0000  4 Y 3.26, 2 Er 3.49
Tm: 0.2685 0.2685 0.5369  1 Y 3.07, 2 Er 3.34
Tm: 0.7315 0.7315 0.4631  1 Y 3.07, 2 Er 3.34

***

The data favor P; the next most stable structure lies 0.165 eV/atom above it.